Below is a geometry-optimized NbSb2WI structure, with properties calculated at the PBE level.

abc: 5.585 4.864 5.585
angles: 90.00 90.00 90.00
Positions (direct):
Sb 0.500 0.000 0.000
Sb 0.000 0.000 0.500
I 0.000 0.000 0.000
Nb 0.500 0.500 0.500
W 0.000 0.500 0.000

ΔE to the lowest computed polymorph = 1113 meV per atom
raw formation energy = 2.43 eV per atom
space group = P4/mmm, No. 123
magnetization = 0.74 Bohr magnetons per cell
uncorrected energy = -0.304 Ry per atom